{"formula": "AlGe2S2", "functional": "GGA-PBE", "state": "relaxed", "cell": [[5.9944, 0.0000, 0.0000], [0.0000, 3.4118, 0.0000], [-2.3602, 0.0000, 9.3330]], "species": ["Al", "Al", "Ge", "Ge", "Ge", "Ge", "S", "S", "S", "S"], "fractional_positions": [[0.0000, 0.0000, 0.0000], [0.5000, 0.5000, 0.0000], [0.1948, 0.5000, 0.6085], [0.3052, 0.0000, 0.3915], [0.6948, 0.0000, 0.6085], [0.8052, 0.5000, 0.3915], [0.2302, 0.5000, 0.1458], [0.2698, 0.0000, 0.8542], [0.7302, 0.0000, 0.1458], [0.7698, 0.5000, 0.8542]], "formation_energy_uncorrected_mev_per_atom": -303, "spacegroup": "C2/m (12)", "dft_energy_ev_per_atom": -4.550}

---

{"formula": "AlGeS3", "functional": "GGA-PBE", "state": "relaxed", "cell": [[4.6130, 0.0000, 0.0000], [0.0000, 4.6130, 0.0000], [0.0000, 0.0000, 4.6130]], "species": ["Al", "Ge", "S", "S", "S"], "fractional_positions": [[0.0000, 0.0000, 0.0000], [0.5000, 0.5000, 0.5000], [0.0000, 0.0000, 0.5000], [0.0000, 0.5000, 0.0000], [0.5000, 0.0000, 0.0000]], "formation_energy_uncorrected_mev_per_atom": -62, "spacegroup": "Pm-3m (221)", "e_above_lowest_polymorph_mev_per_atom": 435, "dft_energy_ev_per_atom": -4.210}

---

{"formula": "AlGeS2", "functional": "GGA-PBE", "state": "relaxed", "cell": [[15.8743, 0.0000, 0.0000], [0.0000, 3.4851, 0.0000], [-1.6299, 0.0000, 5.7266]], "species": ["Al", "Al", "Al", "Al", "Ge", "Ge", "Ge", "Ge", "S", "S", "S", "S", "S", "S", "S", "S"], "fractional_positions": [[0.2500, 0.2500, 0.0000], [0.2500, 0.7500, 0.5000], [0.7500, 0.2500, 0.5000], [0.7500, 0.7500, 0.0000], [0.0000, 0.0000, 0.0000], [0.0000, 0.0000, 0.5000], [0.5000, 0.5000, 0.0000], [0.5000, 0.5000, 0.5000], [0.1626, 0.2426, 0.6058], [0.1626, 0.7574, 0.1058], [0.3374, 0.2574, 0.3942], [0.3374, 0.7426, 0.8942], [0.6626, 0.2574, 0.1058], [0.6626, 0.7426, 0.6058], [0.8374, 0.2426, 0.8942], [0.8374, 0.7574, 0.3942]], "formation_energy_uncorrected_mev_per_atom": -533, "spacegroup": "C2/c (15)", "dft_energy_ev_per_atom": -4.687}

---

{"formula": "AlGeS4", "functional": "GGA-PBE", "state": "relaxed", "cell": [[5.4445, 0.0000, 0.0000], [0.0000, 5.4445, 0.0000], [0.0000, 0.0000, 9.5900]], "species": ["Al", "Al", "Ge", "Ge", "S", "S", "S", "S", "S", "S", "S", "S"], "fractional_positions": [[0.0000, 0.0000, 0.0000], [0.5000, 0.5000, 0.5000], [0.0000, 0.5000, 0.2500], [0.5000, 0.0000, 0.7500], [0.2411, 0.7481, 0.3775], [0.2481, 0.2589, 0.1225], [0.2519, 0.2411, 0.6225], [0.2589, 0.7519, 0.8775], [0.7411, 0.2481, 0.8775], [0.7481, 0.7589, 0.6225], [0.7519, 0.7411, 0.1225], [0.7589, 0.2519, 0.3775]], "formation_energy_uncorrected_mev_per_atom": -413, "spacegroup": "I-4 (82)", "dft_energy_ev_per_atom": -4.558}

---

{"formula": "AlGeS3", "functional": "GGA-PBE", "state": "relaxed", "cell": [[6.2479, -3.0394, 0.0000], [6.2479, 3.0394, 0.0000], [-0.7866, 0.0000, 7.9029]], "species": ["Al", "Al", "Ge", "Ge", "S", "S", "S", "S", "S", "S"], "fractional_positions": [[0.1793, 0.1793, 0.3268], [0.8207, 0.8207, 0.6732], [0.3274, 0.3301, 0.6991], [0.6699, 0.6726, 0.3009], [0.1900, 0.7170, 0.7528], [0.2830, 0.8100, 0.2472], [0.5634, 0.0714, 0.4419], [0.5777, 0.0450, 0.8895], [0.9286, 0.4366, 0.5581], [0.9550, 0.4223, 0.1105]], "formation_energy_uncorrected_mev_per_atom": -443, "spacegroup": "C2 (5)", "e_above_lowest_polymorph_mev_per_atom": 53, "dft_energy_ev_per_atom": -4.592}

---

{"formula": "Al3GeS", "functional": "GGA-PBE", "state": "relaxed", "cell": [[4.7122, 0.0000, 0.0000], [0.0000, 4.7122, 0.0000], [0.0000, 0.0000, 4.7122]], "species": ["Al", "Al", "Al", "Ge", "S"], "fractional_positions": [[0.0000, 0.0000, 0.5000], [0.0000, 0.5000, 0.0000], [0.5000, 0.0000, 0.0000], [0.5000, 0.5000, 0.5000], [0.0000, 0.0000, 0.0000]], "formation_energy_uncorrected_mev_per_atom": 462, "spacegroup": "Pm-3m (221)", "e_above_lowest_polymorph_mev_per_atom": 0, "dft_energy_ev_per_atom": -3.533}

---

{"formula": "AlGe2S4", "functional": "GGA-PBE", "state": "relaxed", "cell": [[7.7780, 0.0000, 0.0000], [0.0000, 7.7780, 0.0000], [0.0000, 0.0000, 6.0265]], "species": ["Al", "Al", "Ge", "Ge", "Ge", "Ge", "S", "S", "S", "S", "S", "S", "S", "S"], "fractional_positions": [[0.0000, 0.0000, 0.0000], [0.5000, 0.5000, 0.5000], [0.0000, 0.5000, 0.2500], [0.0000, 0.5000, 0.7500], [0.5000, 0.0000, 0.2500], [0.5000, 0.0000, 0.7500], [0.1517, 0.3311, 0.5000], [0.1689, 0.6517, 0.0000], [0.3311, 0.8483, 0.5000], [0.3483, 0.1689, 0.0000], [0.6517, 0.8311, 0.0000], [0.6689, 0.1517, 0.5000], [0.8311, 0.3483, 0.0000], [0.8483, 0.6689, 0.5000]], "formation_energy_uncorrected_mev_per_atom": -45, "spacegroup": "I4/m (87)", "dft_energy_ev_per_atom": -4.257}

---

{"formula": "AlGe3S", "functional": "GGA-PBE", "state": "relaxed", "cell": [[4.9098, 0.0000, 0.0000], [0.0000, 4.9098, 0.0000], [0.0000, 0.0000, 4.9098]], "species": ["Al", "Ge", "Ge", "Ge", "S"], "fractional_positions": [[0.0000, 0.0000, 0.0000], [0.0000, 0.5000, 0.5000], [0.5000, 0.0000, 0.5000], [0.5000, 0.5000, 0.0000], [0.5000, 0.5000, 0.5000]], "formation_energy_uncorrected_mev_per_atom": 622, "spacegroup": "Pm-3m (221)", "e_above_lowest_polymorph_mev_per_atom": 0, "dft_energy_ev_per_atom": -3.722}

---

{"formula": "AlGeS2", "functional": "GGA-PBE", "state": "relaxed", "cell": [[6.3311, 0.0000, 0.0000], [0.0000, 6.3311, 0.0000], [0.0000, 0.0000, 9.1312]], "species": ["Al", "Al", "Al", "Al", "Ge", "Ge", "Ge", "Ge", "S", "S", "S", "S", "S", "S", "S", "S"], "fractional_positions": [[0.0000, 0.0000, 0.0000], [0.0000, 0.5000, 0.2500], [0.5000, 0.0000, 0.7500], [0.5000, 0.5000, 0.5000], [0.0000, 0.0000, 0.5000], [0.0000, 0.5000, 0.7500], [0.5000, 0.0000, 0.2500], [0.5000, 0.5000, 0.0000], [0.1864, 0.2500, 0.1250], [0.2500, 0.6864, 0.3750], [0.2500, 0.8136, 0.8750], [0.3136, 0.2500, 0.6250], [0.6864, 0.7500, 0.6250], [0.7500, 0.1864, 0.8750], [0.7500, 0.3136, 0.3750], [0.8136, 0.7500, 0.1250]], "formation_energy_uncorrected_mev_per_atom": -309, "spacegroup": "I-42d (122)", "dft_energy_ev_per_atom": -4.462}

---

{"formula": "AlGe3S", "functional": "GGA-PBE", "state": "relaxed", "cell": [[4.8759, 0.0000, 0.0000], [0.0000, 4.8759, 0.0000], [0.0000, 0.0000, 4.8759]], "species": ["Al", "Ge", "Ge", "Ge", "S"], "fractional_positions": [[0.0000, 0.0000, 0.0000], [0.0000, 0.0000, 0.5000], [0.0000, 0.5000, 0.0000], [0.5000, 0.0000, 0.0000], [0.5000, 0.5000, 0.5000]], "formation_energy_uncorrected_mev_per_atom": 666, "spacegroup": "Pm-3m (221)", "e_above_lowest_polymorph_mev_per_atom": 44, "dft_energy_ev_per_atom": -3.678}

---

{"formula": "Al2GeS4", "functional": "GGA-PBE", "state": "relaxed", "cell": [[13.7002, 0.0000, 0.0000], [0.0000, 3.5888, 0.0000], [-2.4234, 0.0000, 5.5505]], "species": ["Al", "Al", "Al", "Al", "Ge", "Ge", "S", "S", "S", "S", "S", "S", "S", "S"], "fractional_positions": [[0.2370, 0.0000, 0.2194], [0.2630, 0.5000, 0.7806], [0.7370, 0.5000, 0.2194], [0.7630, 0.0000, 0.7806], [0.0000, 0.5000, 0.5000], [0.5000, 0.0000, 0.5000], [0.1385, 0.5000, 0.9703], [0.1489, 0.0000, 0.4924], [0.3511, 0.5000, 0.5076], [0.3615, 0.0000, 0.0297], [0.6385, 0.0000, 0.9703], [0.6489, 0.5000, 0.4924], [0.8511, 0.0000, 0.5076], [0.8615, 0.5000, 0.0297]], "formation_energy_uncorrected_mev_per_atom": -780, "spacegroup": "C2/m (12)", "dft_energy_ev_per_atom": -4.868}

---

{"formula": "AlGeS3", "functional": "GGA-PBE", "state": "relaxed", "cell": [[6.7344, -1.7219, 0.0000], [6.7344, 1.7219, 0.0000], [-2.4731, 0.0000, 10.8098]], "species": ["Al", "Al", "Ge", "Ge", "S", "S", "S", "S", "S", "S"], "fractional_positions": [[0.1680, 0.1680, 0.4045], [0.8320, 0.8320, 0.5955], [0.4352, 0.4352, 0.2233], [0.5648, 0.5648, 0.7767], [0.1187, 0.1187, 0.9079], [0.3439, 0.3439, 0.4440], [0.3815, 0.3815, 0.7432], [0.6185, 0.6185, 0.2568], [0.6561, 0.6561, 0.5560], [0.8813, 0.8813, 0.0921]], "formation_energy_uncorrected_mev_per_atom": -496, "spacegroup": "C2/m (12)", "e_above_lowest_polymorph_mev_per_atom": 0, "dft_energy_ev_per_atom": -4.645}

---

Number 11 is which compound?
Al2GeS4